Crystalline Ba2OsAu at its relaxed geometry. Source: Alexandria via LeMat-Bulk, functional PBE-GGA.

Cell lengths 8.6733, 8.6733, 8.6733 Å; angles 29.69, 29.69, 29.69 degrees
Fractional coordinates of all 4 atoms:
Ba (0.5074, 0.5074, 0.5074)
Ba (0.9926, 0.9926, 0.9926)
Os (0.2500, 0.2500, 0.2500)
Au (0.7500, 0.7500, 0.7500)

Properties
**E**: -16.43 eV per cell
**DOS(E_F)**: 4.0 states/eV/cell
**Space-group type**: R-3m (166)
**Magnetization**: 0.280 μB per atom
**Energy of formation from the pure elements**: 480.1 meV/atom
**Polymorph energy (0 for the lowest one)**: 0.1775 eV per atom
**Mass density**: 7.8 g cm⁻³

Crystalline Ba2OsAu at its relaxed geometry. Source: Alexandria via LeMat-Bulk, functional PBE-GGA.

Cell lengths 6.6839, 6.6839, 5.2900 Å; angles 66.60, 66.60, 33.54 degrees
Fractional coordinates of all 4 atoms:
Os (0.5357, 0.5357, 0.4637)
Ba (0.9857, 0.9857, 0.0141)
Ba (0.7820, 0.7820, 0.7185)
Au (0.1966, 0.1966, 0.3037)

Properties
**E**: -16.90 eV per cell
**DOS(E_F)**: 4.6 states/eV/cell
**Space-group type**: Cm (8)
**Magnetization**: 0.150 μB per atom
**Energy of formation from the pure elements**: 362.7 meV/atom
**Polymorph energy (0 for the lowest one)**: 0.0600 eV per atom
**Mass density**: 9.2 g cm⁻³

Please write out number 2 again, unchanged.
Crystalline Ba2OsAu at its relaxed geometry. Source: Alexandria via LeMat-Bulk, functional PBE-GGA.

Cell lengths 6.6839, 6.6839, 5.2900 Å; angles 66.60, 66.60, 33.54 degrees
Fractional coordinates of all 4 atoms:
Os (0.5357, 0.5357, 0.4637)
Ba (0.9857, 0.9857, 0.0141)
Ba (0.7820, 0.7820, 0.7185)
Au (0.1966, 0.1966, 0.3037)

Properties
**E**: -16.90 eV per cell
**DOS(E_F)**: 4.6 states/eV/cell
**Space-group type**: Cm (8)
**Magnetization**: 0.150 μB per atom
**Energy of formation from the pure elements**: 362.7 meV/atom
**Polymorph energy (0 for the lowest one)**: 0.0600 eV per atom
**Mass density**: 9.2 g cm⁻³